1.
Cs2GePtO4 | PBE | relaxed

## Properties
formation energy (no corrections)	-8.62	eV per formula unit
DFT total energy	-5.10	eV/atom

a = 5.8058 Å, b = 5.8058 Å, c = 5.8058 Å
α = 104.28°, β = 112.13°, γ = 112.13°
Element x y z (fractional)
O 0.6955 0.4459 0.5483
O 0.3045 0.8528 0.7504
O 0.1024 0.2496 0.5541
O 0.8976 0.4517 0.1472
Ge 0.0000 0.5000 0.5000
Cs 0.0000 0.0000 0.0000
Cs 0.5000 0.7500 0.2500
Pt 0.5000 0.2500 0.7500


2.
KBN3 | PBE | relaxed

## Properties
formation energy (no corrections)	18.74	eV per formula unit
DFT total energy	-2.80	eV/atom

a = 4.8926 Å, b = 4.8926 Å, c = 4.8926 Å
α = 90.00°, β = 90.00°, γ = 90.00°
Last column: magnetic moment on the atom in μB.
Element x y z (fractional)
N 0.0000 0.0000 0.5000  1.63
N 0.5000 0.0000 0.0000  1.63
N 0.0000 0.5000 0.0000  1.70
K 0.0000 0.0000 0.0000  0.14
B 0.5000 0.5000 0.5000  -0.22


3.
TaTe2Mo | PBE | relaxed

## Properties
formation energy (no corrections)	2.30	eV per formula unit
E above lowest polymorph	758	meV per atom
DFT total energy	-6.67	eV/atom

a = 5.2114 Å, b = 5.2114 Å, c = 5.2114 Å
α = 130.07°, β = 130.07°, γ = 73.30°
Element x y z (fractional)
Mo 0.5000 0.5000 0.0000
Te 0.2500 0.7500 0.5000
Te 0.0000 0.0000 0.0000
Ta 0.7500 0.2500 0.5000


4.
YCr2PSe | PBE | relaxed

## Properties
formation energy (no corrections)	10.17	eV per formula unit
DFT total energy	-4.89	eV/atom

a = 4.8171 Å, b = 5.0194 Å, c = 4.8171 Å
α = 90.00°, β = 90.00°, γ = 90.00°
Last column: magnetic moment on the atom in μB.
Element x y z (fractional)
Se 0.5000 0.5000 0.5000  0.07
Y 0.0000 0.0000 0.0000  0.01
P 0.0000 0.5000 0.0000  -0.04
Cr 0.5000 0.0000 0.0000  0.09
Cr 0.0000 0.0000 0.5000  0.12


5.
ScAl2Si | PBE | relaxed

## Properties
formation energy (no corrections)	-0.79	eV per formula unit
DFT total energy	-5.01	eV/atom

a = 5.0192 Å, b = 5.0192 Å, c = 3.0401 Å
α = 90.00°, β = 90.00°, γ = 113.83°
Element x y z (fractional)
Sc 0.5000 0.0000 0.5000
Al 0.0000 0.0000 0.0000
Al 0.5000 0.5000 0.0000
Si 0.0000 0.5000 0.5000


6.
PmPr4Cd | PBE | relaxed

## Properties
energy of formation	-57	kJ/mol of formula units
E above lowest polymorph	0	meV per atom
DFT total energy	-4.23	eV/atom

a = 3.7302 Å, b = 3.7302 Å, c = 14.5040 Å
α = 90.00°, β = 90.00°, γ = 90.00°
Element x y z (fractional)
Pr 0.5000 0.5000 0.1773
Pr 0.0000 0.0000 0.6445
Pr 0.0000 0.0000 0.3555
Pr 0.5000 0.5000 0.8227
Cd 0.5000 0.5000 0.5000
Pm 0.0000 0.0000 0.0000


7.
ErSc2Hg | PBE | relaxed

## Properties
energy of formation	-73	kJ/mol of formula units
E above lowest polymorph	0	meV per atom
DFT total energy	-4.57	eV/atom

a = 3.4018 Å, b = 3.4018 Å, c = 8.5605 Å
α = 90.00°, β = 90.00°, γ = 90.00°
Element x y z (fractional)
Er 0.5000 0.5000 0.5000
Sc 0.0000 0.0000 0.2219
Sc 0.0000 0.0000 0.7781
Hg 0.5000 0.5000 0.0000


8.
AsRu2W | PBE | relaxed

## Properties
energy of formation	84	kJ/mol of formula units
DFT total energy	-8.82	eV/atom

a = 4.8715 Å, b = 4.8715 Å, c = 4.8715 Å
α = 134.04°, β = 134.04°, γ = 67.02°
Element x y z (fractional)
Ru 0.0000 0.0000 0.0000
Ru 0.2500 0.7500 0.5000
W 0.5000 0.5000 0.0000
As 0.7500 0.2500 0.5000


9.
Al2CdCuH | PBE | relaxed

## Properties
DFT total energy	-2.44	eV/atom

a = 5.2861 Å, b = 3.3328 Å, c = 5.2861 Å
α = 90.00°, β = 90.00°, γ = 90.00°
Element x y z (fractional)
Cd 0.0000 0.0000 0.0000
Al 0.5000 0.0000 0.0000
Al 0.0000 0.0000 0.5000
H 0.0000 0.5000 0.0000
Cu 0.5000 0.5000 0.5000


10.
NpInSn2Cl8 | PBE | relaxed

## Properties
formation energy (no corrections)	-14.39	eV per formula unit
DFT total energy	-4.40	eV/atom

a = 6.8446 Å, b = 6.5791 Å, c = 9.0477 Å
α = 92.18°, β = 93.05°, γ = 88.73°
Last column: magnetic moment on the atom in μB.
Element x y z (fractional)
Cl 0.8578 0.2510 0.7827  -0.02
Cl 0.8229 0.2217 0.2182  -0.02
Cl 0.3188 0.2522 0.0338  -0.01
Cl 0.3595 0.2810 0.4554  0.00
Cl 0.1771 0.7783 0.7818  -0.02
Cl 0.6812 0.7478 0.9662  -0.01
Cl 0.6405 0.7190 0.5446  0.00
Cl 0.1422 0.7490 0.2173  -0.02
In 0.0000 0.0000 0.5000  0.00
Sn 0.4919 0.4982 0.2534  0.01
Sn 0.5081 0.5018 0.7466  0.01
Np 0.0000 0.0000 0.0000  3.94


11.
TaTePb2 | PBE | relaxed

## Properties
formation energy (no corrections)	0.61	eV per formula unit
DFT total energy	-5.45	eV/atom

a = 3.4788 Å, b = 3.4788 Å, c = 8.5958 Å
α = 90.00°, β = 90.00°, γ = 90.00°
Element x y z (fractional)
Te 0.5000 0.5000 0.6946
Pb 0.0000 0.0000 0.9947
Pb 0.5000 0.5000 0.2865
Ta 0.0000 0.0000 0.5242


12.
Be2SiNi | PBE | relaxed

## Properties
formation energy (no corrections)	0.21	eV per formula unit
DFT total energy	-4.61	eV/atom

a = 7.6676 Å, b = 7.6676 Å, c = 7.6676 Å
α = 18.88°, β = 18.88°, γ = 18.88°
Element x y z (fractional)
Be 0.5066 0.5066 0.5066
Be 0.9934 0.9934 0.9934
Si 0.7500 0.7500 0.7500
Ni 0.2500 0.2500 0.2500